[1]
A plane-wave DFT calculation with PBE was carried out for In2ReP after structural relaxation.

```
In2ReP
1.0
-2.659 4.283 1.568
-2.277 -0.641 4.720
4.733 -0.148 -2.335
In Re P
2 1 1
Cartesian
-4.886 3.605 6.224
-2.518 1.858 3.207
-0.006 0.516 2.764
-0.197 2.978 1.189
```

=====

[2]
A plane-wave DFT calculation with PBE was carried out for InRe2P after structural relaxation.

Results
E above lowest polymorph ... 122 meV per atom

```
InRe2P
1.0
8.638 -0.003 -0.002
8.143 2.880 -0.002
8.143 1.396 2.519
P Re In
1 2 1
Cartesian
18.693 3.204 1.886
12.136 2.080 1.225
0.326 0.056 0.033
6.231 1.068 0.629
```

=====

[3]
A plane-wave DFT calculation with PBE was carried out for InReP2 after structural relaxation.

```
InReP2
1.0
-1.006 -3.132 -3.966
-3.932 -3.190 0.955
1.366 4.949 -0.439
P Re In
2 1 1
Cartesian
-2.547 -0.738 -0.512
-0.116 -0.149 -0.071
-2.296 -2.938 -1.399
-1.084 -0.709 -2.972
```

=====

[4]
A plane-wave DFT calculation with PBE was carried out for InReP4 after structural relaxation.

```
InReP4
1.0
0.000 3.615 3.615
3.615 0.000 3.615
3.615 3.615 0.000
P In Re
4 1 1
Cartesian
2.727 4.503 2.727
4.503 2.727 2.727
2.727 2.727 4.503
4.503 4.503 4.503
0.000 0.000 0.000
1.807 1.807 1.807
```

=====

[5]
A plane-wave DFT calculation with PBE was carried out for In2ReP after structural relaxation.

```
In2ReP
1.0
-2.080 -2.871 9.020
-4.339 -4.243 7.556
-1.636 -5.579 7.754
In P Re
2 1 1
Cartesian
-0.028 -0.045 0.086
-3.999 -6.301 12.080
-2.014 -3.173 6.083
-6.041 -9.519 18.248
```

=====

[6]
A plane-wave DFT calculation with PBE was carried out for In2ReP after structural relaxation.

```
In2ReP
1.0
7.632 0.000 0.000
0.000 7.632 0.000
3.816 3.816 2.776
P Re In
2 2 4
Cartesian
3.816 3.816 0.000
3.816 7.632 1.388
7.632 3.816 1.388
0.000 0.000 0.000
2.033 5.724 0.694
5.600 1.908 0.694
9.541 9.416 2.082
5.724 5.849 2.082
```

=====

[7]
A plane-wave DFT calculation with PBE was carried out for InReP2 after structural relaxation.

```
InReP2
1.0
-2.842 0.209 -0.963
-0.725 -2.434 1.613
-1.703 4.481 5.998
P In Re
2 1 1
Cartesian
-0.736 1.938 2.594
-0.115 0.303 0.405
-3.061 2.249 4.824
-2.209 0.008 1.824
```

=====

[8]
A plane-wave DFT calculation with PBE was carried out for InRe2P after structural relaxation.

Results
E above lowest polymorph ... 279 meV per atom

```
InRe2P
1.0
-0.747 -4.121 -3.952
-1.004 -5.598 0.905
-1.493 5.495 0.859
P Re In
1 2 1
Cartesian
-1.633 -2.185 0.213
-1.597 -1.958 -2.376
-0.079 -0.437 -0.137
-0.812 -4.504 -1.412
```

=====

[9]
A plane-wave DFT calculation with PBE was carried out for In2ReP after structural relaxation.

```
In2ReP
1.0
-0.010 0.650 -3.413
-3.084 -3.546 -0.667
-3.399 2.852 0.554
In Re P
2 1 1
Cartesian
0.000 0.000 0.000
-1.547 -1.448 -2.040
-3.242 -0.347 -0.057
-1.704 1.751 -1.430
```

=====

[10]
A plane-wave DFT calculation with PBE was carried out for InReP2 after structural relaxation.

```
InReP2
1.0
-2.503 -0.120 1.626
1.080 -2.625 -0.929
4.589 -0.597 7.020
Re In P
1 1 2
Cartesian
2.122 -0.276 3.246
2.731 -1.821 5.615
0.473 -1.527 2.161
0.134 -0.017 0.204
```

=====

[11]
A plane-wave DFT calculation with PBE was carried out for InReP2 after structural relaxation.

```
InReP2
1.0
3.065 0.000 0.000
0.000 3.064 0.000
0.000 0.000 7.441
P Re In
2 1 1
Cartesian
0.000 0.000 0.641
1.532 1.532 2.043
0.000 0.000 3.132
1.532 1.532 5.346
```

=====

[12]
A plane-wave DFT calculation with PBE was carried out for InReSnP2 after structural relaxation.

```
InReSnP2
1.0
4.985 0.000 0.000
0.000 5.266 0.000
0.000 0.000 4.985
Sn P In Re
1 2 1 1
Cartesian
2.492 2.633 2.492
2.492 0.000 0.000
0.000 0.000 2.492
0.000 0.000 0.000
0.000 2.633 0.000
```

=====

[13]
A plane-wave DFT calculation with PBE was carried out for InRe2TcP after structural relaxation.

```
InRe2TcP
1.0
4.820 0.000 0.000
0.000 4.399 0.000
0.000 0.000 4.820
P In Re Tc
1 1 2 1
Cartesian
0.000 2.199 0.000
2.410 2.199 2.410
0.000 0.000 2.410
2.410 0.000 0.000
0.000 0.000 0.000
```

=====

[14]
A plane-wave DFT calculation with PBE was carried out for InP2Rh after structural relaxation.

```
InP2Rh
1.0
-1.937 0.313 -2.345
-0.324 -3.037 -0.137
-5.585 0.385 4.667
Rh P In
1 2 1
Cartesian
-2.433 0.168 2.033
-2.550 -1.264 -0.056
-0.496 0.034 0.415
-5.160 -1.084 2.125
```

=====

[15]
A plane-wave DFT calculation with PBE was carried out for InP2Rh after structural relaxation.

```
InP2Rh
1.0
4.449 0.001 0.000
-1.244 4.271 0.000
0.000 0.000 3.496
P In Rh
2 1 1
Cartesian
1.602 2.136 0.000
0.000 0.000 0.000
-0.622 2.136 1.748
2.224 0.000 1.748
```

=====

[16]
A plane-wave DFT calculation with PBE was carried out for InPRh after structural relaxation.

```
InPRh
1.0
-0.326 -0.890 -3.118
-0.687 -2.118 2.379
-5.563 1.861 0.051
In P Rh
1 1 1
Cartesian
-5.526 1.848 0.050
-2.724 -0.987 0.566
-3.888 -0.148 -1.254
```

=====

[17]
A plane-wave DFT calculation with PBE was carried out for InP2Rh after structural relaxation.

```
InP2Rh
1.0
-0.060 4.537 -2.268
-2.602 -0.567 -4.317
-0.404 -0.231 5.051
Rh In P
1 1 2
Cartesian
-1.430 2.132 -3.537
-2.152 0.569 -1.239
-2.564 3.823 -6.342
-0.913 3.169 -0.293
```

=====

[18]
A plane-wave DFT calculation with PBE was carried out for InP2Rh after structural relaxation.

```
InP2Rh
1.0
4.317 0.021 0.008
2.958 3.144 0.008
1.405 0.612 5.696
P Rh In
2 1 1
Cartesian
6.999 3.045 3.717
8.186 3.562 5.476
4.859 2.114 3.659
1.656 0.721 1.429
```

=====

[19]
A plane-wave DFT calculation with PBE was carried out for InP3Rh after structural relaxation.

Results
E above lowest polymorph ... 0 meV per atom

```
InP3Rh
1.0
4.673 0.000 0.000
0.000 4.673 0.000
0.000 0.000 4.673
P Rh In
3 1 1
Cartesian
0.000 2.336 0.000
2.336 0.000 0.000
0.000 0.000 2.336
0.000 0.000 0.000
2.336 2.336 2.336
```

=====

[20]
A plane-wave DFT calculation with PBE was carried out for InP2Rh after structural relaxation.

```
InP2Rh
1.0
5.808 -0.009 -0.009
3.172 4.865 0.009
-3.883 -3.549 2.459
Rh In P
1 1 2
Cartesian
3.207 -0.565 1.225
1.889 1.871 1.234
8.508 4.601 0.000
4.961 2.683 0.000
```

=====

Number 1: energy -5.13 eV per atom, ΔH_f (0 K) 0.70 eV per atom. Number 2: energy -8.00 eV per atom, ΔH_f (0 K) 0.27 eV per atom. Number 3: energy -5.99 eV per atom, ΔH_f (0 K) 0.52 eV per atom. Number 4: energy -5.13 eV per atom, ΔH_f (0 K) 1.01 eV per atom. Number 5: energy -5.15 eV per atom, ΔH_f (0 K) 0.68 eV per atom. Number 6: energy -4.93 eV per atom, ΔH_f (0 K) 0.91 eV per atom. Number 7: energy -6.50 eV per atom, ΔH_f (0 K) 0.00 eV per atom. Number 8: energy -7.84 eV per atom, ΔH_f (0 K) 0.42 eV per atom. Number 9: energy -5.05 eV per atom, ΔH_f (0 K) 0.79 eV per atom. Number 10: energy -5.89 eV per atom, ΔH_f (0 K) 0.61 eV per atom. Number 11: energy -6.26 eV per atom, ΔH_f (0 K) 0.25 eV per atom. Number 12: energy -4.26 eV per atom, ΔH_f (0 K) 1.74 eV per atom. Number 13: energy -7.18 eV per atom, ΔH_f (0 K) 1.50 eV per atom. Number 14: energy -5.15 eV per atom, ΔH_f (0 K) 0.08 eV per atom. Number 15: energy -4.99 eV per atom, ΔH_f (0 K) 0.24 eV per atom. Number 16: energy -5.45 eV per atom, ΔH_f (0 K) -0.29 eV per atom. Number 17: energy -5.05 eV per atom, ΔH_f (0 K) 0.17 eV per atom. Number 18: energy -5.39 eV per atom, ΔH_f (0 K) -0.16 eV per atom. Number 19: energy -4.74 eV per atom, ΔH_f (0 K) 0.53 eV per atom. Number 20: energy -5.17 eV per atom, ΔH_f (0 K) 0.06 eV per atom.